{"formula": "La12Pm7Th", "functional": "PBE", "state": "relaxed", "formation_enthalpy_0k_ev_per_atom": 0.2045, "density_g_cm3": 6.6, "polymorph_energy_mev_per_atom": 129, "cell": [[9.892, 5.711, 2.148], [-9.892, 5.711, 2.148], [0.000, -11.423, 2.148]], "species": ["La", "La", "La", "La", "La", "La", "La", "La", "La", "La", "La", "La", "Pm", "Pm", "Pm", "Pm", "Pm", "Pm", "Pm", "Th"], "frac_coords": [[0.001, 0.594, 0.407], [0.072, 0.429, 0.073], [0.073, 0.072, 0.429], [0.406, 0.593, 0.999], [0.407, 0.001, 0.594], [0.429, 0.073, 0.072], [0.571, 0.927, 0.928], [0.593, 0.999, 0.406], [0.594, 0.407, 0.001], [0.927, 0.928, 0.571], [0.928, 0.571, 0.927], [0.999, 0.406, 0.593], [0.000, 0.000, 0.000], [0.127, 0.380, 0.381], [0.380, 0.381, 0.127], [0.381, 0.127, 0.380], [0.619, 0.873, 0.620], [0.620, 0.619, 0.873], [0.873, 0.620, 0.619], [0.500, 0.500, 0.500]]}